No. 1
MgTa2RhBr after structural relaxation, computed with PBEsol.

Unit cell a=4.682 b=4.682 c=4.571 alpha=90.00 beta=90.00 gamma=90.00
Fractional positions:
Mg  0.000  0.000  0.000
Ta  0.000  0.500  0.500
Ta  0.500  0.000  0.500
Rh  0.500  0.500  0.000
Br  0.500  0.500  0.500

* raw formation energy: 1.0663 eV/atom
* DOS(E_F): 0.724 states/eV/atom
* symmetry: P4/mmm (123)
* total moment: 0.0 μB per formula unit
* E: -6.299 eV per atom

No. 2
Lu2HgAu after structural relaxation, computed with PBEsol.

Unit cell a=4.981 b=4.981 c=4.981 alpha=60.00 beta=60.00 gamma=60.00
Fractional positions:
Lu  0.250  0.250  0.250
Lu  0.750  0.750  0.750
Hg  0.000  0.000  0.000
Au  0.500  0.500  0.500

* DOS(E_F): 0.509 states/eV/atom
* symmetry: Fm-3m (225)
* total moment: 0.0 μB per formula unit
* formation energy from the elements: -71 kJ per mole of atoms
* E: -4.297 eV per atom

no.,V (Å³ per cell)
1,100
2,87